# 1
# PBE-GGA Ac6InN2, relaxed
data_Ac6InN2
_chemical_formula_sum 'Ac12 In2 N4'
_cell_length_a 13.8565
_cell_length_b 5.8232
_cell_length_c 7.9683
_cell_angle_alpha 90.00
_cell_angle_beta 92.21
_cell_angle_gamma 90.00
_space_group_name_H-M_alt 'C 1 2/m 1'
_space_group_IT_number 12
loop_
_space_group_symop_operation_xyz
'x,y,z'
'-x,-y,-z'
'-x,y,-z'
'x,-y,z'
'x+1/2,y+1/2,z'
'-x+1/2,-y+1/2,-z'
'-x+1/2,y+1/2,-z'
'x+1/2,-y+1/2,z'
loop_
_atom_site_label
_atom_site_type_symbol
_atom_site_fract_x
_atom_site_fract_y
_atom_site_fract_z
Ac1 Ac 0.0649 0.0000 0.2362
Ac2 Ac 0.1384 0.5000 0.6342
Ac3 Ac 0.2426 0.5000 0.1413
In1 In 0.0000 0.5000 0.0000
N1 N 0.2320 0.0000 0.1623
# density of states at the Fermi level = 16.47 states/eV per cell
# M_tot = 0.001 μB per formula unit
# energy relative to the elements, uncorrected = -560 meV/atom
# calculated volume = 321.2 Å³/f.u.


# 2
# PBE-GGA AcInN2, relaxed
data_AcInN2
_chemical_formula_sum 'Ac4 In4 N8'
_cell_length_a 6.1756
_cell_length_b 3.6209
_cell_length_c 12.0936
_cell_angle_alpha 90.00
_cell_angle_beta 90.00
_cell_angle_gamma 90.00
_space_group_name_H-M_alt 'P n m a'
_space_group_IT_number 62
loop_
_space_group_symop_operation_xyz
'x,y,z'
'-x,-y,-z'
'-x+1/2,-y,z+1/2'
'x+1/2,y,-z+1/2'
'x+1/2,-y+1/2,-z+1/2'
'-x+1/2,y+1/2,z+1/2'
'-x,y+1/2,-z'
'x,-y+1/2,z'
loop_
_atom_site_label
_atom_site_type_symbol
_atom_site_fract_x
_atom_site_fract_y
_atom_site_fract_z
Ac1 Ac 0.1108 0.2500 0.1453
In1 In 0.1040 0.7500 0.3941
N1 N 0.1290 0.2500 0.7443
N2 N 0.2338 0.2500 0.4805
# M_tot = 0.000 μB per formula unit
# energy relative to the elements, uncorrected = -512 meV/atom
# calculated volume = 67.6 Å³/f.u.


# 3
# PBE-GGA Ac5In2N2, relaxed
data_Ac5In2N2
_chemical_formula_sum 'Ac20 In8 N8'
_cell_length_a 21.0841
_cell_length_b 7.5955
_cell_length_c 7.4555
_cell_angle_alpha 90.00
_cell_angle_beta 90.00
_cell_angle_gamma 90.00
_space_group_name_H-M_alt 'I m a 2'
_space_group_IT_number 46
loop_
_space_group_symop_operation_xyz
'x,y,z'
'-x,-y,z'
'-x+1/2,y,z'
'x+1/2,-y,z'
'x+1/2,y+1/2,z+1/2'
'-x+1/2,-y+1/2,z+1/2'
'-x,y+1/2,z+1/2'
'x,-y+1/2,z+1/2'
loop_
_atom_site_label
_atom_site_type_symbol
_atom_site_fract_x
_atom_site_fract_y
_atom_site_fract_z
Ac1 Ac 0.0064 0.2468 0.0000
Ac2 Ac 0.1435 0.5347 0.7697
Ac3 Ac 0.2500 0.1272 0.8709
In1 In 0.1088 0.5101 0.2454
N1 N 0.0000 0.0000 0.2587
N2 N 0.2500 0.0836 0.2111
# energy above the lowest structure with this stoichiometry = 0.000 eV/atom
# density of states at the Fermi level = 24.85 states/eV per cell
# M_tot = 0.000 μB per formula unit
# energy relative to the elements, uncorrected = -669 meV/atom
# calculated volume = 298.5 Å³/f.u.


# 4
# PBE-GGA Ac2InN, relaxed
data_Ac2InN
_chemical_formula_sum 'Ac12 In6 N6'
_cell_length_a 6.5503
_cell_length_b 7.4310
_cell_length_c 15.5241
_cell_angle_alpha 103.83
_cell_angle_beta 99.63
_cell_angle_gamma 90.05
_space_group_name_H-M_alt 'P -1'
_space_group_IT_number 2
loop_
_space_group_symop_operation_xyz
'x,y,z'
'-x,-y,-z'
loop_
_atom_site_label
_atom_site_type_symbol
_atom_site_fract_x
_atom_site_fract_y
_atom_site_fract_z
Ac1 Ac 0.1292 0.0562 0.1128
Ac2 Ac 0.1830 0.4673 0.9334
Ac3 Ac 0.1923 0.4300 0.3579
Ac4 Ac 0.1926 0.9279 0.3579
Ac5 Ac 0.2752 0.7825 0.5651
Ac6 Ac 0.2800 0.2869 0.5739
In1 In 0.3371 0.0859 0.7781
In2 In 0.3383 0.6914 0.7779
In3 In 0.3571 0.5932 0.1854
N1 N 0.0000 0.0000 0.5000
N2 N 0.9999 0.2351 0.0001
N3 N 0.0000 0.5000 0.5000
N4 N 0.5000 0.0000 0.5000
N5 N 0.5000 0.5000 0.5000
# energy above the lowest structure with this stoichiometry = 0.091 eV/atom
# density of states at the Fermi level = 14.49 states/eV per cell
# M_tot = 0.000 μB per formula unit
# energy relative to the elements, uncorrected = -642 meV/atom
# calculated volume = 120.5 Å³/f.u.